# 1
The following is a GGA-PBE calculation of crystalline ZrSc2Ru at its relaxed geometry, from Alexandria.

Cell: 5.6775 5.6775 5.6775 Å, 138.77 138.77 59.73°
Closest atoms and distances in Å follow each position.
Sites, in units of the cell vectors:
Zr 0.2500 0.7500 0.5000  4 Ru 2.83
Ru 0.7500 0.2500 0.5000  4 Zr 2.83
Sc 0.0000 0.0000 0.0000  4 Sc 2.83
Sc 0.5000 0.5000 0.0000  4 Sc 2.83

Results
The energy of formation from the pure elements is -39 kJ/mol of formula units. The value obtained for the offset from the most stable computed form is 251 meV/atom.

# 2
The following is a GGA-PBE calculation of crystalline ErPuGaIr at its relaxed geometry, from Alexandria.

Cell: 4.9328 4.9328 4.9328 Å, 60.00 60.00 60.00°
Closest atoms and distances in Å follow each position.
Sites, in units of the cell vectors:
Er 0.2500 0.2500 0.2500  4 Ga 3.02, 4 Ir 3.02
Pu 0.7500 0.7500 0.7500  4 Ir 3.02, 4 Ga 3.02
Ga 0.0000 0.0000 0.0000  4 Er 3.02, 4 Pu 3.02
Ir 0.5000 0.5000 0.5000  4 Pu 3.02, 4 Er 3.02

Results
The energy of formation from the pure elements is -191 kJ/mol of formula units.

# 3
The following is a GGA-PBE calculation of crystalline BeAlCl3 at its relaxed geometry, from Alexandria.

Cell: 4.7826 4.7826 4.7826 Å, 90.00 90.00 90.00°
Closest atoms and distances in Å follow each position.
Sites, in units of the cell vectors:
Be 0.5000 0.5000 0.5000  12 Cl 3.38
Cl 0.0000 0.0000 0.5000  2 Al 2.39
Cl 0.5000 0.0000 0.0000  2 Al 2.39
Cl 0.0000 0.5000 0.0000  2 Al 2.39
Al 0.0000 0.0000 0.0000  6 Cl 2.39

Results
The raw formation energy comes out at -239 meV/atom. The value obtained for the offset from the most stable computed form is 415 meV/atom.

# 4
The following is a GGA-PBE calculation of crystalline KYSb4 at its relaxed geometry, from Alexandria.

Cell: 6.3867 6.3867 6.3867 Å, 60.00 60.00 60.00°
Closest atoms and distances in Å follow each position.
Sites, in units of the cell vectors:
K 0.0000 0.0000 0.0000  12 Sb 3.75, 4 Y 3.91
Y 0.7500 0.7500 0.7500  12 Sb 3.74, 4 K 3.91
Sb 0.8733 0.3756 0.3756  6 Sb 3.18-3.21
Sb 0.3756 0.3756 0.8733  6 Sb 3.18-3.21
Sb 0.3756 0.8733 0.3756  6 Sb 3.18-3.21
Sb 0.3756 0.3756 0.3756  6 Sb 3.18-3.21

Results
The raw formation energy comes out at -120 meV/atom.

# 5
The following is a GGA-PBE calculation of crystalline HoCl4 at its relaxed geometry, from Alexandria.

Cell: 5.2694 5.2694 5.2694 Å, 90.00 90.00 90.00°
Closest atoms and distances in Å follow each position.
Sites, in units of the cell vectors:
Cl 0.0000 0.5000 0.5000  2 Ho 2.63
Cl 0.0000 0.0000 0.0000  12 Cl 3.73
Cl 0.5000 0.5000 0.0000  2 Ho 2.63
Cl 0.5000 0.0000 0.5000  2 Ho 2.63
Ho 0.5000 0.5000 0.5000  6 Cl 2.63

Results
The raw formation energy comes out at -1492 meV/atom.

# 6
The following is a GGA-PBE calculation of crystalline KNa2Li at its relaxed geometry, from Alexandria.

Cell: 5.1343 5.1343 13.3590 Å, 78.92 78.92 90.00°
Closest atoms and distances in Å follow each position.
Sites, in units of the cell vectors:
Na 0.3750 0.4070 0.7500  2 Na 3.41, 2 Li 3.64, 2 K 3.75
Na 0.1570 0.6250 0.2500  2 Na 3.41, 2 Li 3.64, 2 K 3.75
Na 0.8750 0.8430 0.7500  2 Na 3.41, 2 Li 3.64, 2 K 3.75
Na 0.5930 0.1250 0.2500  2 Na 3.41, 2 Li 3.64, 2 K 3.75
Li 0.2500 0.7500 0.5000  4 K 3.63, 4 Na 3.64
Li 0.5000 0.5000 0.0000  4 K 3.63, 4 Na 3.64
K 0.0000 0.0000 0.0000  4 Li 3.63, 4 Na 3.75
K 0.7500 0.2500 0.5000  4 Li 3.63, 4 Na 3.75

Results
The energy of formation from the pure elements is 62 kJ/mol of formula units. The value obtained for the offset from the most stable computed form is 98 meV/atom.

# 7
The following is a GGA-PBE calculation of crystalline TlTcMo2 at its relaxed geometry, from Alexandria.

Cell: 4.0443 2.9635 6.4972 Å, 62.87 90.00 90.00°
Closest atoms and distances in Å follow each position.
Sites, in units of the cell vectors:
Tl 0.5000 0.7500 0.7500  2 Tc 2.89, 2 Tl 2.96, 8 Mo 3.02
Mo 0.0000 0.9591 0.0422  1 Mo 2.40
Mo 0.0000 0.5409 0.4578  1 Mo 2.40
Tc 0.5000 0.2500 0.2500  8 Mo 2.78, 2 Tl 2.89, 2 Tc 2.96

Results
The energy of formation from the pure elements is 166 kJ/mol of formula units. The value obtained for the offset from the most stable computed form is 15 meV/atom.

# 8
The following is a GGA-PBE calculation of crystalline LaScNbB2 at its relaxed geometry, from Alexandria.

Cell: 4.6443 5.1336 4.6443 Å, 90.00 90.00 90.00°
Closest atoms and distances in Å follow each position.
Sites, in units of the cell vectors:
B 0.5000 0.0000 0.0000  2 La 2.32
B 0.0000 0.0000 0.5000  2 La 2.32
Sc 0.5000 0.5000 0.5000  4 Nb 3.28, 8 B 3.46
La 0.0000 0.0000 0.0000  4 B 2.32, 2 Nb 2.57
Nb 0.0000 0.5000 0.0000  2 La 2.57

Results
The energy of formation from the pure elements is 963 kJ/mol of formula units.

# 9
The following is a GGA-PBE calculation of crystalline TlSbN2O at its relaxed geometry, from Alexandria.

Cell: 4.2893 4.2893 4.1804 Å, 90.00 90.00 90.00°
Closest atoms and distances in Å follow each position.
Sites, in units of the cell vectors:
Tl 0.0000 0.0000 0.0000  2 O 2.09, 4 N 2.14
N 0.5000 0.0000 0.0000  2 Tl 2.14
N 0.0000 0.5000 0.0000  2 Tl 2.14
O 0.0000 0.0000 0.5000  2 Tl 2.09
Sb 0.5000 0.5000 0.5000  8 N 2.99, 4 O 3.03

Results
The raw formation energy comes out at 1499 meV/atom.

# 10
The following is a GGA-PBE calculation of crystalline Cs4PtAu at its relaxed geometry, from Alexandria.

Cell: 5.9490 5.9505 10.4558 Å, 73.46 73.47 60.01°
Closest atoms and distances in Å follow each position.
Sites, in units of the cell vectors:
Pt 0.0000 0.0000 0.0000  8 Cs 3.48-3.59
Cs 0.3682 0.3684 0.8951  3 Pt 3.59, 1 Au 3.90, 3 Cs 4.01
Cs 0.1177 0.1174 0.6471  1 Pt 3.48, 3 Au 3.73
Cs 0.8823 0.8826 0.3529  1 Pt 3.48, 3 Au 3.73
Cs 0.6318 0.6316 0.1049  3 Pt 3.59, 1 Au 3.90, 3 Cs 4.01
Au 0.5000 0.5000 0.5000  8 Cs 3.73-3.90

Results
The energy of formation from the pure elements is -72 kJ/mol of formula units.

# 11
The following is a GGA-PBE calculation of crystalline GeWN3 at its relaxed geometry, from Alexandria.

Cell: 3.7005 3.7005 3.7005 Å, 90.00 90.00 90.00°
Closest atoms and distances in Å follow each position.
Sites, in units of the cell vectors:
N 0.0000 0.5000 0.0000  2 Ge 1.85
N 0.0000 0.0000 0.5000  2 Ge 1.85
N 0.5000 0.0000 0.0000  2 Ge 1.85
W 0.5000 0.5000 0.5000  12 N 2.62
Ge 0.0000 0.0000 0.0000  6 N 1.85

Results
The raw formation energy comes out at 1486 meV/atom.

# 12
The following is a GGA-PBE calculation of crystalline CeEr2Tl4 at its relaxed geometry, from Alexandria.

Cell: 5.2433 5.2433 7.6569 Å, 90.00 90.00 90.00°
Closest atoms and distances in Å follow each position.
Sites, in units of the cell vectors:
Tl 0.0000 0.5000 0.7269  4 Er 3.15-3.35, 2 Ce 3.35, 1 Tl 3.47
Tl 0.5000 0.0000 0.2731  4 Er 3.15-3.35, 2 Ce 3.35, 1 Tl 3.47
Tl 0.5000 0.0000 0.7269  4 Er 3.15-3.35, 2 Ce 3.35, 1 Tl 3.47
Tl 0.0000 0.5000 0.2731  4 Er 3.15-3.35, 2 Ce 3.35, 1 Tl 3.47
Er 0.0000 0.0000 0.0000  8 Tl 3.35, 4 Ce 3.71
Er 0.5000 0.5000 0.5000  8 Tl 3.15
Ce 0.5000 0.5000 0.0000  8 Tl 3.35, 4 Er 3.71

Results
The energy of formation from the pure elements is -107 kJ/mol of formula units. The value obtained for the offset from the most stable computed form is 0 meV/atom.

# 13
The following is a GGA-PBE calculation of crystalline Mg2Zn3In2 at its relaxed geometry, from Alexandria.

Cell: 7.3503 7.3363 7.3511 Å, 113.21 101.74 113.86°
Closest atoms and distances in Å follow each position.
Sites, in units of the cell vectors:
In 0.1193 0.5961 0.6378  4 Zn 2.93-3.14, 2 Mg 3.15-3.18, 1 In 3.22
In 0.3845 0.5241 0.9823  4 Zn 2.92-3.12, 3 Mg 3.14-3.27, 1 In 3.22
In 0.5415 0.9038 0.5231  4 Zn 2.92-3.14, 2 Mg 3.15-3.18, 1 In 3.22
In 0.9582 0.9760 0.8603  4 Zn 2.92-3.12, 2 Mg 3.14-3.19, 1 In 3.22
Mg 0.4952 0.1305 0.9664  3 Zn 2.72-2.88
Mg 0.0039 0.4679 0.1305  3 Zn 2.71-2.86
Mg 0.3359 0.3696 0.3650  3 Zn 2.72-2.88
Mg 0.1627 0.0323 0.5361  3 Zn 2.71-2.86
Zn 0.8607 0.7501 0.1107  4 Zn 2.47-2.62, 2 Mg 2.71
Zn 0.2502 0.8669 0.1168  2 Zn 2.62, 2 Mg 2.81
Zn 0.6253 0.3785 0.7495  2 Zn 2.47
Zn 0.6418 0.2501 0.3919  4 Zn 2.47-2.62, 2 Mg 2.72
Zn 0.8705 0.1211 0.2462  2 Zn 2.47
Zn 0.7501 0.6331 0.3834  2 Zn 2.62, 2 Mg 2.81

Results
The energy of formation from the pure elements is 14 kJ/mol of formula units.